TiSnN3: optimized geometry, PBE-GGA.

Cell lengths 4.0189, 4.0189, 4.0189 Å; angles 90.00, 90.00, 90.00 degrees
Last column: nearest neighbours and their distance in Å.
Positions (direct):
1 N 0.0000 0.0000 0.5000  2 Sn 2.01
2 N 0.5000 0.0000 0.0000  2 Sn 2.01
3 N 0.0000 0.5000 0.0000  2 Sn 2.01
4 Ti 0.5000 0.5000 0.5000  12 N 2.84
5 Sn 0.0000 0.0000 0.0000  6 N 2.01

Values from the calculation:
Energy relative to the elements, uncorrected, eV per atom: 1.229
Calculated volume, Å³/f.u.: 64.91
Space-group type: Pm-3m (221)